Material: TiMoC3
Method: DFT, GGA-PBE
State: relaxed

Geometry as POSCAR:
```
TiMoC3
1.0
-2.5021 1.1924 -2.8804
-2.9560 -2.0808 1.7064
-0.9904 3.1981 2.1842
C Ti Mo
3 1 1
Cartesian
-0.4952 1.5990 1.0921
-1.2511 0.5962 -1.4402
-1.4780 -1.0404 0.8532
-3.2242 1.1548 0.5051
0.0000 0.0000 0.0000
```

Properties
ΔE_f	1.557	eV/atom
total magnetization	0.01	μB per formula unit
SG	Pm-3m (221)
ΔE to the lowest computed polymorph	0	meV/atom
volume	12.8	A^3/atom
total energy	-7.722	eV/atom